a | # RbAsHIr | Alexandria | PBE | relaxed
# Space group = No. 1
data_RbAsHIr
_cell_length_a 3.828
_cell_length_b 4.594
_cell_length_c 5.846
_cell_angle_alpha 87.15
_cell_angle_beta 89.99
_cell_angle_gamma 89.89
_space_group_name_H-M_alt 'P 1'
_space_group_IT_number 1
_space_group_name_Hall 'P 1'
loop_
_atom_site_label
_atom_site_type_symbol
_atom_site_fract_x
_atom_site_fract_y
_atom_site_fract_z
_atom_site_occupancy
Rb1 Rb 0.000 0.000 0.000 1
As1 As 0.480 0.489 0.499 1
H1 H 0.937 0.987 0.501 1
Ir1 Ir 0.508 0.989 0.500 1

=====

b | # RbAsHIr | Alexandria | PBE | relaxed
# Space group = No. 1
data_RbAsHIr
_cell_length_a 3.952
_cell_length_b 3.986
_cell_length_c 5.919
_cell_angle_alpha 86.41
_cell_angle_beta 86.64
_cell_angle_gamma 68.35
_space_group_name_H-M_alt 'P 1'
_space_group_IT_number 1
_space_group_name_Hall 'P 1'
loop_
_atom_site_label
_atom_site_type_symbol
_atom_site_fract_x
_atom_site_fract_y
_atom_site_fract_z
_atom_site_occupancy
Rb1 Rb 0.000 0.000 0.000 1
As1 As 0.337 0.336 0.487 1
H1 H 0.349 0.350 0.215 1
Ir1 Ir 0.690 0.692 0.543 1

=====

So which one wins? Going from most stable to least: a, b.

=====

a | # RbAsH2IrSe | Alexandria | PBE | relaxed
# Space group = No. 1
data_RbAsH2IrSe
_cell_length_a 3.985
_cell_length_b 5.500
_cell_length_c 5.940
_cell_angle_alpha 95.24
_cell_angle_beta 93.67
_cell_angle_gamma 93.68
_space_group_name_H-M_alt 'P 1'
_space_group_IT_number 1
_space_group_name_Hall 'P 1'
loop_
_atom_site_label
_atom_site_type_symbol
_atom_site_fract_x
_atom_site_fract_y
_atom_site_fract_z
_atom_site_occupancy
Rb1 Rb 0.000 0.000 0.000 1
As1 As 0.471 0.600 0.298 1
H1 H 0.748 0.346 0.340 1
H2 H 0.915 0.784 0.505 1
Ir1 Ir 0.015 0.510 0.538 1
Se1 Se 0.510 0.443 0.786 1

=====

b | # RbAsH2IrSe | Alexandria | PBE | relaxed
# Space group = No. 6
data_RbAsH2IrSe
_cell_length_a 4.888
_cell_length_b 3.913
_cell_length_c 6.950
_cell_angle_alpha 90.00
_cell_angle_beta 107.69
_cell_angle_gamma 90.00
_space_group_name_H-M_alt 'P 1'
_space_group_IT_number 1
_space_group_name_Hall 'P 1'
loop_
_atom_site_label
_atom_site_type_symbol
_atom_site_fract_x
_atom_site_fract_y
_atom_site_fract_z
_atom_site_occupancy
Rb1 Rb 0.000 0.000 0.000 1
As1 As 0.668 0.000 0.411 1
H1 H 0.050 0.500 0.272 1
H2 H 0.928 0.500 0.721 1
Ir1 Ir 0.971 0.500 0.492 1
Se1 Se 0.330 0.000 0.615 1

=====

c | # RbAsH2IrSe | Alexandria | PBE | relaxed
# Space group = No. 1
data_RbAsH2IrSe
_cell_length_a 3.935
_cell_length_b 4.814
_cell_length_c 7.164
_cell_angle_alpha 77.03
_cell_angle_beta 74.12
_cell_angle_gamma 65.88
_space_group_name_H-M_alt 'P 1'
_space_group_IT_number 1
_space_group_name_Hall 'P 1'
loop_
_atom_site_label
_atom_site_type_symbol
_atom_site_fract_x
_atom_site_fract_y
_atom_site_fract_z
_atom_site_occupancy
Rb1 Rb 0.000 0.000 0.000 1
As1 As 0.167 0.330 0.337 1
H1 H 0.348 0.933 0.367 1
H2 H 0.625 0.150 0.597 1
Ir1 Ir 0.504 0.506 0.490 1
Se1 Se 0.823 0.662 0.694 1

=====

d | # RbAsH2IrSe | Alexandria | PBE | relaxed
# Space group = No. 1
data_RbAsH2IrSe
_cell_length_a 3.965
_cell_length_b 5.532
_cell_length_c 6.587
_cell_angle_alpha 73.80
_cell_angle_beta 89.88
_cell_angle_gamma 69.17
_space_group_name_H-M_alt 'P 1'
_space_group_IT_number 1
_space_group_name_Hall 'P 1'
loop_
_atom_site_label
_atom_site_type_symbol
_atom_site_fract_x
_atom_site_fract_y
_atom_site_fract_z
_atom_site_occupancy
Rb1 Rb 0.000 0.000 0.000 1
As1 As 0.242 0.514 0.601 1
H1 H 0.579 0.844 0.776 1
H2 H 0.629 0.740 0.297 1
Ir1 Ir 0.605 0.790 0.535 1
Se1 Se 0.368 0.259 0.342 1

=====

So which one wins? Going from most stable to least: b, d, c, a.